VASP calculation (PBE) on a geometry-optimized Dy7Y2Sc structure.

energy of formation from the pure elements	0.1738	eV/atom

a b c (Å): 3.4527 14.5874 14.5875
angles (deg): 154.51 90.00 90.00
Positions (direct):
Dy  0.5000  0.5000  0.5000
Dy  0.5000  0.1477  0.3407
Dy  0.5000  0.8523  0.6593
Dy  0.0000  0.1852  0.8148
Dy  0.0000  0.8148  0.1852
Dy  0.5000  0.3407  0.1477
Dy  0.5000  0.6593  0.8523
Y  0.5000  0.7076  0.2924
Y  0.5000  0.2924  0.7076
Sc  0.0000  0.0000  0.0000

VASP calculation (PBE) on a geometry-optimized PrY2Cd structure.

energy of formation from the pure elements	-0.1626	eV/atom

a b c (Å): 3.6791 3.6791 8.9960
angles (deg): 90.00 90.00 90.00
Positions (direct):
Y  0.0000  0.0000  0.2162
Y  0.0000  0.0000  0.7838
Cd  0.5000  0.5000  0.0000
Pr  0.5000  0.5000  0.5000

VASP calculation (PBE) on a geometry-optimized Be2FeBSb structure.

electronic total energy	-15.737	eV/cell

a b c (Å): 4.5370 4.4165 4.5370
angles (deg): 90.00 90.00 90.00
Positions (direct):
Be  0.5000  0.0000  0.0000
Be  0.0000  0.0000  0.5000
Sb  0.0000  0.0000  0.0000
Fe  0.5000  0.5000  0.5000
B  0.0000  0.5000  0.0000

VASP calculation (PBE) on a geometry-optimized NaS2NCl structure.

electronic total energy	-13.860	eV/cell

a b c (Å): 4.8138 4.8138 4.1895
angles (deg): 90.00 90.00 90.00
Positions (direct):
S  0.0000  0.5000  0.0000
S  0.5000  0.0000  0.0000
Cl  0.0000  0.0000  0.0000
N  0.0000  0.0000  0.5000
Na  0.5000  0.5000  0.5000

VASP calculation (PBE) on a geometry-optimized LiPr3Cd structure.

energy of formation from the pure elements	-0.0221	eV/atom

a b c (Å): 6.9073 8.0404 11.2794
angles (deg): 76.61 90.00 90.00
Positions (direct):
Pr  0.1902  0.6226  0.5956
Pr  0.8098  0.3774  0.4044
Pr  0.0111  0.8194  0.2822
Pr  0.4889  0.8194  0.7822
Pr  0.5180  0.7559  0.3630
Pr  0.6902  0.3774  0.9044
Pr  0.0180  0.2441  0.1370
Pr  0.3098  0.6226  0.0956
Pr  0.9820  0.7559  0.8630
Pr  0.9889  0.1806  0.7178
Pr  0.4820  0.2441  0.6370
Pr  0.5111  0.1806  0.2178
Li  0.7151  0.9505  0.0323
Li  0.2849  0.0495  0.9677
Li  0.7849  0.9505  0.5323
Li  0.2151  0.0495  0.4677
Cd  0.7702  0.5912  0.1223
Cd  0.2702  0.4088  0.3777
Cd  0.7298  0.5912  0.6223
Cd  0.2298  0.4088  0.8777

VASP calculation (PBE) on a geometry-optimized YTm3Fe8 structure.

energy of formation from the pure elements	-0.1228	eV/atom

a b c (Å): 5.0976 5.0976 8.8107
angles (deg): 73.18 73.18 60.00
Positions (direct):
Fe  0.9386  0.4379  0.1856
Fe  0.4379  0.9386  0.1856
Fe  0.1872  0.1872  0.4384
Fe  0.9375  0.4358  0.6893
Fe  0.4358  0.9375  0.6893
Fe  0.6876  0.6876  0.9371
Fe  0.4379  0.4379  0.1856
Fe  0.9375  0.9375  0.6893
Tm  0.4997  0.4997  0.5010
Tm  0.0003  0.0003  0.9992
Tm  0.3750  0.3750  0.8749
Y  0.8750  0.8750  0.3749

VASP calculation (PBE) on a geometry-optimized CrCu3Pd12 structure.

energy of formation from the pure elements	-0.0636	eV/atom

a b c (Å): 3.8937 3.8937 15.5501
angles (deg): 90.00 90.00 90.00
Positions (direct):
Pd  0.5000  0.0000  0.6242
Pd  0.5000  0.0000  0.8746
Pd  0.5000  0.0000  0.3758
Pd  0.5000  0.5000  0.2509
Pd  0.0000  0.5000  0.8746
Pd  0.5000  0.5000  0.0000
Pd  0.0000  0.5000  0.3758
Pd  0.5000  0.5000  0.7491
Pd  0.5000  0.5000  0.5000
Pd  0.5000  0.0000  0.1254
Pd  0.0000  0.5000  0.6242
Pd  0.0000  0.5000  0.1254
Cu  0.0000  0.0000  0.7484
Cu  0.0000  0.0000  0.2516
Cu  0.0000  0.0000  0.5000
Cr  0.0000  0.0000  0.0000

VASP calculation (PBE) on a geometry-optimized Pm2FeGe4Ir3 structure.

energy of formation from the pure elements	-0.6653	eV/atom

a b c (Å): 4.2654 4.2654 10.0026
angles (deg): 90.00 90.00 90.00
Positions (direct):
Ge  0.0000  0.5000  0.3766
Ge  0.0000  0.0000  0.0000
Ge  0.5000  0.5000  0.0000
Ge  0.5000  0.0000  0.6234
Ir  0.0000  0.0000  0.5000
Ir  0.5000  0.0000  0.8708
Ir  0.0000  0.5000  0.1292
Pm  0.0000  0.5000  0.7486
Pm  0.5000  0.0000  0.2514
Fe  0.5000  0.5000  0.5000

VASP calculation (PBE) on a geometry-optimized LiLa2Sn2 structure.

energy of formation from the pure elements	-0.6160	eV/atom

a b c (Å): 6.6286 6.8130 8.2308
angles (deg): 114.45 113.75 90.00
Positions (direct):
La  0.6366  0.9239  0.2731
La  0.3634  0.0761  0.7269
La  0.1366  0.3492  0.2731
La  0.8634  0.6508  0.7269
Sn  0.8833  0.1559  0.7667
Sn  0.6167  0.3892  0.2333
Sn  0.1167  0.8441  0.2333
Sn  0.3833  0.6108  0.7667
Li  0.2500  0.5000  0.0000
Li  0.7500  0.5000  0.0000

VASP calculation (PBE) on a geometry-optimized RbBaCa2Zn structure.

energy of formation from the pure elements	0.0486	eV/atom

a b c (Å): 6.1414 6.1414 6.4859
angles (deg): 90.00 90.00 90.00
Positions (direct):
Ca  0.5000  0.0000  0.0000
Ca  0.0000  0.5000  0.0000
Zn  0.0000  0.0000  0.0000
Ba  0.0000  0.0000  0.5000
Rb  0.5000  0.5000  0.5000

VASP calculation (PBE) on a geometry-optimized Bi2HRuW structure.

electronic total energy	-25.329	eV/cell

a b c (Å): 5.2829 5.2829 4.8343
angles (deg): 90.00 90.00 90.00
Positions (direct):
Bi  0.0000  0.5000  0.0000
Bi  0.5000  0.0000  0.0000
H  0.5000  0.5000  0.5000
W  0.0000  0.0000  0.5000
Ru  0.0000  0.0000  0.0000

VASP calculation (PBE) on a geometry-optimized RbSiAg2Au structure.

electronic total energy	-15.483	eV/cell

a b c (Å): 5.0650 5.0650 4.9256
angles (deg): 90.00 90.00 90.00
Positions (direct):
Rb  0.5000  0.5000  0.5000
Au  0.0000  0.0000  0.5000
Ag  0.0000  0.5000  0.0000
Ag  0.5000  0.0000  0.0000
Si  0.0000  0.0000  0.0000

VASP calculation (PBE) on a geometry-optimized NaTiSeS structure.

electronic total energy	-21.812	eV/cell

a b c (Å): 3.6313 3.6311 7.2991
angles (deg): 90.00 104.40 120.00
Positions (direct):
Se  0.4968  0.1462  0.6583
Ti  0.3123  0.5541  0.8816
S  0.1103  0.9531  0.0786
Na  0.9586  0.3774  0.3511

VASP calculation (PBE) on a geometry-optimized Ba5Mg structure.

energy of formation from the pure elements	0.0609	eV/atom

a b c (Å): 7.4037 7.4037 6.8539
angles (deg): 90.00 90.00 120.00
Positions (direct):
Ba  0.6667  0.6667  0.5000
Ba  0.0172  0.0000  0.0000
Ba  0.6495  0.3162  0.0000
Ba  0.3333  0.6838  0.0000
Ba  0.0000  0.3333  0.5000
Mg  0.3333  0.0000  0.5000

VASP calculation (PBE) on a geometry-optimized Fe2TcHRu structure.

electronic total energy	-39.341	eV/cell

a b c (Å): 3.6882 3.6882 3.7765
angles (deg): 90.00 90.00 90.00
Positions (direct):
H  0.0000  0.0000  0.0000
Tc  0.0000  0.0000  0.5000
Fe  0.0000  0.5000  0.0000
Fe  0.5000  0.0000  0.0000
Ru  0.5000  0.5000  0.5000

VASP calculation (PBE) on a geometry-optimized ErZn3Au structure.

energy of formation from the pure elements	-0.4227	eV/atom

a b c (Å): 6.1694 5.3098 5.5613
angles (deg): 90.00 89.04 90.00
Positions (direct):
Er  0.3365  0.2500  0.6539
Er  0.6636  0.7500  0.3461
Au  0.4566  0.7500  0.8458
Au  0.5434  0.2500  0.1542
Zn  0.1620  0.5042  0.1506
Zn  0.1104  0.7500  0.5627
Zn  0.1620  0.9958  0.1506
Zn  0.8380  0.4958  0.8494
Zn  0.8896  0.2500  0.4373
Zn  0.8380  0.0042  0.8494

VASP calculation (PBE) on a geometry-optimized LiMgBeAg2 structure.

energy of formation from the pure elements	0.9517	eV/atom

a b c (Å): 4.8815 4.7209 4.8815
angles (deg): 90.00 90.00 90.00
Positions (direct):
Ag  0.0000  0.0000  0.5000
Ag  0.5000  0.0000  0.0000
Mg  0.0000  0.0000  0.0000
Be  0.5000  0.5000  0.5000
Li  0.0000  0.5000  0.0000

VASP calculation (PBE) on a geometry-optimized Sr6GeS2I3 structure.

electronic total energy	-45.379	eV/cell

a b c (Å): 7.8074 7.8074 8.2648
angles (deg): 99.00 99.00 119.98
Positions (direct):
Sr  0.5999  0.9337  0.8003
Sr  0.4001  0.0663  0.1997
Sr  0.0663  0.4001  0.1997
Sr  0.9337  0.5999  0.8003
Sr  0.2667  0.2667  0.7991
Sr  0.7333  0.7333  0.2009
I  0.5000  0.5000  0.5000
I  0.8308  0.1692  0.5000
I  0.1692  0.8308  0.5000
S  0.3338  0.6662  0.0000
S  0.6662  0.3338  0.0000
Ge  0.0000  0.0000  0.0000

VASP calculation (PBE) on a geometry-optimized NaPmPbI6 structure.

electronic total energy	-57.836	eV/cell

a b c (Å): 7.5889 7.5889 14.2266
angles (deg): 90.00 90.00 90.00
Positions (direct):
I  0.1952  0.8048  0.4956
I  0.8038  0.1962  0.1729
I  0.1962  0.8038  0.1729
I  0.7079  0.7079  0.3312
I  0.3048  0.3048  0.9956
I  0.2921  0.2921  0.3312
I  0.6962  0.6962  0.6729
I  0.3038  0.3038  0.6729
I  0.2079  0.7921  0.8312
I  0.6952  0.6952  0.9956
I  0.8048  0.1952  0.4956
I  0.7921  0.2079  0.8312
Na  0.5000  0.5000  0.1674
Na  0.0000  0.0000  0.6674
Pm  0.5000  0.5000  0.8334
Pm  0.0000  0.0000  0.3334
Pb  0.0000  0.0000  0.9997
Pb  0.5000  0.5000  0.4997

VASP calculation (PBE) on a geometry-optimized ZrCd4Se structure.

electronic total energy	-14.519	eV/cell

a b c (Å): 5.7784 5.7784 5.7784
angles (deg): 60.00 60.00 60.00
Positions (direct):
Cd  0.3745  0.8766  0.3745
Cd  0.3745  0.3745  0.3745
Cd  0.3745  0.3745  0.8766
Cd  0.8766  0.3745  0.3745
Zr  0.0000  0.0000  0.0000
Se  0.7500  0.7500  0.7500